{"formula": "NaPuOs", "functional": "GGA-PBE", "state": "optimized geometry", "total_magnetization_mub_per_cell": 4.82, "total_energy_ev_per_atom": -7.812, "sg": "F-43m", "cell": [[0.000, 3.256, 3.256], [3.256, 0.000, 3.256], [3.256, 3.256, 0.000]], "species": ["Na", "Pu", "Os"], "frac_coords": [[0.000, 0.000, 0.000], [0.250, 0.250, 0.250], [0.500, 0.500, 0.500]]}